# 1
## GaFeSn3 (PBE-GGA)

Data for a geometry-optimized GaFeSn3 structure.

Cell and atoms, written as extended XYZ:
```
5
Lattice="4.916 0.000 0.000 0.000 4.916 0.000 0.000 0.000 4.916" Properties=species:S:1:pos:R:3 pbc="T T T"
Ga 2.458 2.458 2.458
Sn 0.000 0.000 2.458
Sn 2.458 0.000 0.000
Sn 0.000 2.458 0.000
Fe 0.000 0.000 0.000
```

Summary:
* polymorph energy (0 for the lowest one): 0 meV/atom
* size of the total moment: 0.00 Bohr magnetons per cell
* energy relative to the elements: 1.028 eV per formula unit
* Fermi-level density of states: 0.722 states/eV per atom

=====

# 2
## Fe2MoIr (PBE-GGA)

Data for a geometry-optimized Fe2MoIr structure.

Cell and atoms, written as extended XYZ:
```
4
Lattice="4.631 0.008 -0.029 3.840 2.589 -0.029 0.785 0.241 4.471" Properties=species:S:1:pos:R:3 pbc="T T T"
Mo 6.955 2.132 3.307
Fe 8.438 2.586 0.000
Fe 2.298 0.704 1.074
Ir 4.666 1.430 2.181
```

Summary:
* size of the total moment: 3.78 Bohr magnetons per cell
* energy relative to the elements: 0.109 eV per formula unit
* Fermi-level density of states: 1.231 states/eV per atom

=====

# 3
## HoSc5Ru4 (PBE-GGA)

Data for a geometry-optimized HoSc5Ru4 structure.

Cell and atoms, written as extended XYZ:
```
10
Lattice="3.238 0.000 0.000 0.000 3.238 0.000 0.000 0.000 17.957" Properties=species:S:1:pos:R:3 pbc="T T T"
Sc 1.619 1.619 15.282
Sc 1.619 1.619 12.139
Sc 1.619 1.619 8.978
Sc 1.619 1.619 2.675
Sc 1.619 1.619 5.818
Ho 0.000 0.000 0.000
Ru 0.000 0.000 4.100
Ru 0.000 0.000 13.856
Ru 0.000 0.000 7.371
Ru 0.000 0.000 10.586
```

Summary:
* size of the total moment: 0.00 Bohr magnetons per cell
* energy relative to the elements: -4.604 eV per formula unit
* Fermi-level density of states: 0.994 states/eV per atom

=====

# 4
## IrC (PBE-GGA)

Data for a geometry-optimized IrC structure.

Cell and atoms, written as extended XYZ:
```
4
Lattice="-2.455 0.637 2.778 1.933 -0.462 3.194 0.751 3.469 1.248" Properties=species:S:1:pos:R:3 pbc="T T T"
C 0.019 0.298 0.591
C 0.210 3.345 6.629
Ir 0.075 1.188 2.354
Ir 0.154 2.455 4.866
```

Summary:
* polymorph energy (0 for the lowest one): 1074 meV/atom
* size of the total moment: 0.00 Bohr magnetons per cell
* energy relative to the elements: 3.063 eV per formula unit
* Fermi-level density of states: 0.839 states/eV per atom

=====

# 5
## Sm6CuRu2 (PBE-GGA)

Data for a geometry-optimized Sm6CuRu2 structure.

Cell and atoms, written as extended XYZ:
```
18
Lattice="-4.369 1.222 4.896 5.403 -0.977 5.066 1.901 9.613 -0.174" Properties=species:S:1:pos:R:3 pbc="T T T"
Ru -0.928 2.680 2.788
Ru 3.652 2.022 3.285
Ru 3.862 7.178 7.000
Ru -0.717 7.836 6.503
Sm 1.094 5.822 7.303
Sm 3.726 3.674 5.802
Sm 1.841 4.036 2.485
Sm -0.004 2.873 5.456
Sm 2.938 6.986 4.332
Sm 1.906 2.410 8.838
Sm 1.029 7.449 0.950
Sm 1.232 0.623 2.365
Sm 1.702 9.235 7.423
Sm -0.292 9.616 4.004
Sm 3.226 0.242 5.784
Sm -0.791 6.184 3.986
Cu 0.951 4.807 -0.087
Cu 0.517 0.122 4.981
```

Summary:
* size of the total moment: 0.00 Bohr magnetons per cell
* energy relative to the elements: -1.345 eV per formula unit
* Fermi-level density of states: 0.961 states/eV per atom

=====

What did the third record say?
## HoSc5Ru4 (PBE-GGA)

Data for a geometry-optimized HoSc5Ru4 structure.

Cell and atoms, written as extended XYZ:
```
10
Lattice="3.238 0.000 0.000 0.000 3.238 0.000 0.000 0.000 17.957" Properties=species:S:1:pos:R:3 pbc="T T T"
Sc 1.619 1.619 15.282
Sc 1.619 1.619 12.139
Sc 1.619 1.619 8.978
Sc 1.619 1.619 2.675
Sc 1.619 1.619 5.818
Ho 0.000 0.000 0.000
Ru 0.000 0.000 4.100
Ru 0.000 0.000 13.856
Ru 0.000 0.000 7.371
Ru 0.000 0.000 10.586
```

Summary:
* size of the total moment: 0.00 Bohr magnetons per cell
* energy relative to the elements: -4.604 eV per formula unit
* Fermi-level density of states: 0.994 states/eV per atom